Compound: Li2MnCr
Source: the Alexandria database
Functional: PBE
Structure: relaxed

Cell lengths 4.9473, 4.9473, 4.9473 Å; angles 143.01, 125.16, 68.00 degrees
Closest atoms and distances in Å follow each position.
Fractional coordinates of all 4 atoms:
Cr: 0.2638 0.7638 0.5000  2 Mn 2.42
Li: 0.7536 0.2536 0.5000  2 Li 2.52, 2 Mn 2.68, 4 Cr 2.77
Li: 0.9941 0.9941 0.0000  2 Li 2.52, 2 Cr 2.71, 4 Mn 2.77
Mn: 0.4885 0.4885 0.0000  2 Cr 2.42, 2 Li 2.68

Calculated values
Distance to the lowest polymorph of the same formula = 0.144 eV/atom
Space group = Imm2
Energy of formation = 416.5 meV per atom
VASP energy = -5.24 eV/atom